Here is a relaxed MgTl4 crystal from Alexandria via LeMat-Bulk. Energies are from GGA-PBE.

POSCAR file:
```
MgTl4
1.0
-3.8970 3.8970 2.3498
3.8970 -3.8970 2.3498
3.8970 3.8970 -2.3498
Mg Tl
1 4
Cartesian
0.0000 0.0000 0.0000 Mg
3.0969 1.5997 0.0000 Tl
2.2972 -0.8001 2.3498 Tl
1.5997 4.6971 0.0000 Tl
0.8001 2.2972 2.3498 Tl
```

polymorph energy (0 for the lowest one): 0 meV/atom
ΔE_f: 0.025 eV per atom
total energy: -2.19 eV/atom
DOS(E_F): 2.15 states/eV/cell
space-group type: I4/m